{
  "formula": "Cr3SnF9",
  "functional": "GGA+U",
  "state": "optimized geometry",
  "cell": [[-0.841, -4.631, -3.765], [5.651, 2.541, -4.388], [5.480, -3.773, 4.872]],
  "species": ["Cr", "Cr", "Cr", "Cr", "Cr", "Cr", "Sn", "Sn", "F", "F", "F", "F", "F", "F", "F", "F", "F", "F", "F", "F", "F", "F", "F", "F", "F", "F"],
  "frac_coords": [[0.000, 0.000, 0.000], [0.000, 0.500, 0.000], [0.481, 0.499, 0.712], [0.481, 0.001, 0.712], [0.519, 0.999, 0.288], [0.519, 0.501, 0.288], [0.030, 0.250, 0.435], [0.970, 0.750, 0.565], [0.073, 0.250, 0.964], [0.084, 0.939, 0.784], [0.084, 0.561, 0.784], [0.270, 0.950, 0.502], [0.270, 0.550, 0.502], [0.374, 0.250, 0.696], [0.306, 0.954, 0.088], [0.306, 0.546, 0.088], [0.401, 0.250, 0.294], [0.599, 0.750, 0.706], [0.694, 0.046, 0.912], [0.694, 0.454, 0.912], [0.626, 0.750, 0.304], [0.730, 0.050, 0.498], [0.730, 0.450, 0.498], [0.916, 0.061, 0.216], [0.916, 0.439, 0.216], [0.927, 0.750, 0.036]],
  "sg": "P2_1/m",
  "dft_energy_ev_per_atom": -5.875,
  "crystal_system": "monoclinic",
  "magnetic_moment_mub_per_atom": 0.8462
}